No. 1
Entry from Alexandria via LeMat-Bulk: an optimized crystal structure of NaLa2Ge3Au4 (PBE-GGA).

Lattice parameters (Å, degrees): 4.4925 4.4925 10.9904 90.00 90.00 90.00
With the nearest neighbours (Å) after each atom.
Atoms (fractional coordinates):
Na (0.0000, 0.0000, 0.0000)  4 Au 2.71
La (0.0000, 0.5000, 0.7282)  6 Ge 3.34-3.74, 8 Au 3.37-3.50, 2 Na 3.74
La (0.5000, 0.0000, 0.2718)  6 Ge 3.34-3.74, 8 Au 3.37-3.50, 2 Na 3.74
Ge (0.0000, 0.5000, 0.3669)  5 Au 2.52-2.68
Ge (0.5000, 0.0000, 0.6331)  5 Au 2.52-2.68
Ge (0.5000, 0.5000, 0.0000)  4 Au 2.71
Au (0.0000, 0.0000, 0.5000)  4 Ge 2.68
Au (0.0000, 0.5000, 0.1380)  3 Ge 2.52-2.71, 2 Na 2.71
Au (0.5000, 0.0000, 0.8620)  3 Ge 2.52-2.71, 2 Na 2.71
Au (0.5000, 0.5000, 0.5000)  4 Ge 2.68

- Formation enthalpy at 0 K: -13.07 kcal/mol of atoms
- N(E_F): 5.34 states/eV per cell
- SG: P-4m2 (115)

=====

No. 2
Entry from Alexandria via LeMat-Bulk: an optimized crystal structure of LaNbGeAu2 (PBE-GGA).

Lattice parameters (Å, degrees): 4.9038 4.9038 4.9843 90.00 90.00 90.00
With the nearest neighbours (Å) after each atom.
Atoms (fractional coordinates):
La (0.0000, 0.0000, 0.0000)  4 Nb 3.47, 8 Au 3.50
Nb (0.5000, 0.5000, 0.0000)  2 Ge 2.49
Ge (0.5000, 0.5000, 0.5000)  4 Au 2.45, 2 Nb 2.49
Au (0.0000, 0.5000, 0.5000)  2 Ge 2.45
Au (0.5000, 0.0000, 0.5000)  2 Ge 2.45

- Formation enthalpy at 0 K: 1.87 kcal/mol of atoms
- N(E_F): 4.10 states/eV per cell
- SG: P4/mmm (123)

=====

No. 3
Entry from Alexandria via LeMat-Bulk: an optimized crystal structure of La2NiGe4Au3 (PBE-GGA).

Lattice parameters (Å, degrees): 4.3819 4.3819 10.7781 90.00 90.00 90.00
With the nearest neighbours (Å) after each atom.
Atoms (fractional coordinates):
La (0.0000, 0.5000, 0.2352)  8 Ge 3.33-3.60, 2 Ni 3.35, 6 Au 3.35-3.37
La (0.5000, 0.0000, 0.7648)  8 Ge 3.33-3.60, 2 Ni 3.35, 6 Au 3.35-3.37
Ni (0.5000, 0.5000, 0.0000)  4 Ge 2.56
Ge (0.0000, 0.0000, 0.5000)  4 Au 2.67
Ge (0.0000, 0.5000, 0.8779)  3 Au 2.55-2.56, 2 Ni 2.56
Ge (0.5000, 0.0000, 0.1221)  3 Au 2.55-2.56, 2 Ni 2.56
Ge (0.5000, 0.5000, 0.5000)  4 Au 2.67
Au (0.0000, 0.0000, 0.0000)  4 Ge 2.56
Au (0.0000, 0.5000, 0.6410)  5 Ge 2.55-2.67
Au (0.5000, 0.0000, 0.3590)  5 Ge 2.55-2.67

- Formation enthalpy at 0 K: -13.76 kcal/mol of atoms
- N(E_F): 5.79 states/eV per cell
- SG: P-4m2 (115)

=====

No. 4
Entry from Alexandria via LeMat-Bulk: an optimized crystal structure of La2GePbAu (PBE-GGA).

Lattice parameters (Å, degrees): 5.8866 5.8866 4.7568 90.00 90.00 90.00
With the nearest neighbours (Å) after each atom.
Atoms (fractional coordinates):
La (0.0000, 0.5000, 0.0000)  2 Au 2.94
La (0.5000, 0.0000, 0.0000)  2 Au 2.94
Ge (0.0000, 0.0000, 0.5000)  2 Au 2.38
Pb (0.5000, 0.5000, 0.5000)  8 La 3.78, 4 Ge 4.16
Au (0.0000, 0.0000, 0.0000)  2 Ge 2.38

- Formation enthalpy at 0 K: -5.02 kcal/mol of atoms
- N(E_F): 3.90 states/eV per cell
- SG: P4/mmm (123)

=====

No. 5
Entry from Alexandria via LeMat-Bulk: an optimized crystal structure of La2Ge3Pd4Au (PBE-GGA).

Lattice parameters (Å, degrees): 4.3855 4.3855 10.5300 90.00 90.00 90.00
With the nearest neighbours (Å) after each atom.
Atoms (fractional coordinates):
La (0.0000, 0.5000, 0.2442)  8 Pd 3.27-3.47, 6 Ge 3.38-3.41, 2 Au 3.38
La (0.5000, 0.0000, 0.7558)  8 Pd 3.27-3.47, 6 Ge 3.38-3.41, 2 Au 3.38
Ge (0.0000, 0.0000, 0.0000)  4 Pd 2.68
Ge (0.0000, 0.5000, 0.6209)  5 Pd 2.44-2.54
Ge (0.5000, 0.0000, 0.3791)  5 Pd 2.44-2.54
Pd (0.0000, 0.0000, 0.5000)  4 Ge 2.54
Pd (0.0000, 0.5000, 0.8530)  3 Ge 2.44-2.68, 2 Au 2.68
Pd (0.5000, 0.0000, 0.1470)  3 Ge 2.44-2.68, 2 Au 2.68
Pd (0.5000, 0.5000, 0.5000)  4 Ge 2.54
Au (0.5000, 0.5000, 0.0000)  4 Pd 2.68

- Formation enthalpy at 0 K: -18.12 kcal/mol of atoms
- N(E_F): 5.62 states/eV per cell
- SG: P-4m2 (115)

=====

No. 6
Entry from Alexandria via LeMat-Bulk: an optimized crystal structure of La3Ge6Pd2Au (PBE-GGA).

Lattice parameters (Å, degrees): 6.0705 6.0705 8.5391 90.00 90.00 120.00
With the nearest neighbours (Å) after each atom.
Atoms (fractional coordinates):
La (0.0000, 0.0000, 0.0000)  6 Ge 3.09
La (0.3333, 0.6667, 0.6217)  9 Ge 3.17-3.31, 1 Pd 3.42
La (0.6667, 0.3333, 0.3783)  9 Ge 3.17-3.31, 1 Pd 3.42
Ge (0.1900, 0.3800, 0.2766)  2 Ge 2.61, 1 Pd 2.65, 1 Au 2.76
Ge (0.1900, 0.8100, 0.2766)  2 Ge 2.61, 1 Pd 2.65, 1 Au 2.76
Ge (0.3800, 0.1900, 0.7234)  2 Ge 2.61, 1 Pd 2.65, 1 Au 2.76
Ge (0.6200, 0.8100, 0.2766)  2 Ge 2.61, 1 Pd 2.65, 1 Au 2.76
Ge (0.8100, 0.1900, 0.7234)  2 Ge 2.61, 1 Pd 2.65, 1 Au 2.76
Ge (0.8100, 0.6200, 0.7234)  2 Ge 2.61, 1 Pd 2.65, 1 Au 2.76
Pd (0.3333, 0.6667, 0.0219)  3 Ge 2.65
Pd (0.6667, 0.3333, 0.9781)  3 Ge 2.65
Au (0.0000, 0.0000, 0.5000)  6 Ge 2.76

- Formation enthalpy at 0 K: -10.60 kcal/mol of atoms
- N(E_F): 4.46 states/eV per cell
- SG: P-3m1 (164)

=====

Final energy? In order: -43.80, -25.76, -49.91, -22.55, -55.61, -61.67 eV for the cell shown.